(1)
! Tb2ErPd PBE relaxed; values from VASP
! E_form, eV/f.u.: -1.88
! Symmetry: No. 62
&SYSTEM
  ibrav = 0, nat = 16, ntyp = 3
/
ATOMIC_SPECIES
Tb 158.93 Tb.upf
Er 167.26 Er.upf
Pd 106.42 Pd.upf
CELL_PARAMETERS angstrom
7.010 0.000 0.000
0.000 9.725 0.000
0.000 0.000 6.448
ATOMIC_POSITIONS crystal
Tb 0.183 0.059 0.176
Tb 0.183 0.441 0.176
Tb 0.317 0.559 0.676
Tb 0.317 0.941 0.676
Tb 0.683 0.059 0.324
Tb 0.683 0.441 0.324
Tb 0.817 0.559 0.824
Tb 0.817 0.941 0.824
Er 0.025 0.250 0.634
Er 0.475 0.750 0.134
Er 0.525 0.250 0.866
Er 0.975 0.750 0.366
Pd 0.110 0.750 0.946
Pd 0.390 0.250 0.446
Pd 0.610 0.750 0.554
Pd 0.890 0.250 0.054

=====

(2)
! SiP2C PBE relaxed; values from VASP
! Formation energy from raw total energies, eV per atom: 0.289
! Symmetry: No. 6
&SYSTEM
  ibrav = 0, nat = 4, ntyp = 3
/
ATOMIC_SPECIES
Si 28.09 Si.upf
P 30.97 P.upf
C 12.01 C.upf
CELL_PARAMETERS angstrom
3.750 0.000 0.000
0.000 3.190 0.000
-1.740 0.000 5.153
ATOMIC_POSITIONS crystal
Si 0.000 0.000 0.000
P 0.395 0.000 0.715
P 0.509 0.500 0.460
C 0.115 0.500 0.172

=====

(3)
! Er3Cu2Rh2 PBE relaxed; values from VASP
! E_form, eV/f.u.: -3.48
! Symmetry: No. 2
&SYSTEM
  ibrav = 0, nat = 7, ntyp = 3
/
ATOMIC_SPECIES
Er 167.26 Er.upf
Cu 63.55 Cu.upf
Rh 102.91 Rh.upf
CELL_PARAMETERS angstrom
3.530 0.000 0.000
-1.745 5.095 0.000
-0.001 -0.065 7.572
ATOMIC_POSITIONS crystal
Er 0.000 0.000 0.000
Er 0.367 0.731 0.636
Er 0.633 0.269 0.364
Cu 0.290 0.578 0.110
Cu 0.710 0.422 0.890
Rh 0.086 0.179 0.660
Rh 0.914 0.821 0.340

=====

(4)
! Ta2Cu2B PBE relaxed; values from VASP
! E_form, eV/f.u.: 2.46
! Symmetry: No. 139
&SYSTEM
  ibrav = 0, nat = 10, ntyp = 3
/
ATOMIC_SPECIES
Ta 180.95 Ta.upf
Cu 63.55 Cu.upf
B 10.81 B.upf
CELL_PARAMETERS angstrom
3.106 0.000 0.000
0.000 3.106 0.000
0.000 0.000 14.638
ATOMIC_POSITIONS crystal
Ta 0.000 0.000 0.090
Ta 0.000 0.000 0.910
Ta 0.500 0.500 0.410
Ta 0.500 0.500 0.590
Cu 0.000 0.500 0.250
Cu 0.000 0.500 0.750
Cu 0.500 0.000 0.250
Cu 0.500 0.000 0.750
B 0.000 0.000 0.500
B 0.500 0.500 0.000

=====

(5)
! TaAlPb3 PBE relaxed; values from VASP
! E_form, eV/f.u.: 6.48
! Symmetry: No. 221
&SYSTEM
  ibrav = 0, nat = 5, ntyp = 3
/
ATOMIC_SPECIES
Ta 180.95 Ta.upf
Al 26.98 Al.upf
Pb 207.20 Pb.upf
CELL_PARAMETERS angstrom
5.312 0.000 0.000
0.000 5.312 0.000
0.000 0.000 5.312
ATOMIC_POSITIONS crystal
Ta 0.000 0.000 0.000
Al 0.500 0.500 0.500
Pb 0.000 0.500 0.500
Pb 0.500 0.000 0.500
Pb 0.500 0.500 0.000

=====

(6)
! Rb2Np2MnS6 PBE relaxed; values from VASP
! Formation energy from raw total energies, eV per atom: -1.198
! Symmetry: No. 12
&SYSTEM
  ibrav = 0, nat = 11, ntyp = 4
/
ATOMIC_SPECIES
Rb 85.47 Rb.upf
Np 237.00 Np.upf
Mn 54.94 Mn.upf
S 32.06 S.upf
CELL_PARAMETERS angstrom
3.391 -5.874 0.000
3.391 5.874 0.000
-2.228 0.000 7.846
ATOMIC_POSITIONS crystal
Rb 0.165 0.835 0.000
Rb 0.835 0.165 0.000
Np 0.334 0.666 0.500
Np 0.666 0.334 0.500
Mn 0.000 0.000 0.500
S 0.059 0.387 0.682
S 0.261 0.261 0.321
S 0.387 0.059 0.682
S 0.613 0.941 0.318
S 0.739 0.739 0.679
S 0.941 0.613 0.318

=====

(7)
! BaAgHg3 PBE relaxed; values from VASP
! E_form, eV/f.u.: 2.17
! Symmetry: No. 221
&SYSTEM
  ibrav = 0, nat = 5, ntyp = 3
/
ATOMIC_SPECIES
Ba 137.33 Ba.upf
Ag 107.87 Ag.upf
Hg 200.59 Hg.upf
CELL_PARAMETERS angstrom
6.551 0.000 0.000
0.000 6.551 0.000
0.000 0.000 6.551
ATOMIC_POSITIONS crystal
Ba 0.000 0.000 0.000
Ag 0.500 0.500 0.500
Hg 0.000 0.000 0.500
Hg 0.000 0.500 0.000
Hg 0.500 0.000 0.000

=====

(8)
! PrY2HfAs4 PBE relaxed; values from VASP
! E_form, eV/f.u.: -10.95
! Symmetry: No. 10
&SYSTEM
  ibrav = 0, nat = 8, ntyp = 4
/
ATOMIC_SPECIES
Pr 140.91 Pr.upf
Y 88.91 Y.upf
Hf 178.49 Hf.upf
As 74.92 As.upf
CELL_PARAMETERS angstrom
7.069 0.000 0.000
0.000 4.086 0.000
-2.336 0.000 6.695
ATOMIC_POSITIONS crystal
Pr 0.000 0.000 0.000
Y 0.500 0.000 0.500
Y 0.500 0.500 0.000
Hf 0.000 0.500 0.500
As 0.240 0.000 0.732
As 0.250 0.500 0.265
As 0.750 0.500 0.735
As 0.760 0.000 0.268

=====

(9)
! Rb3Ce3GaO8 PBE relaxed; values from VASP
! Formation energy from raw total energies, eV per atom: -2.432
! Symmetry: No. 166
&SYSTEM
  ibrav = 0, nat = 15, ntyp = 4
/
ATOMIC_SPECIES
Rb 85.47 Rb.upf
Ce 140.12 Ce.upf
Ga 69.72 Ga.upf
O 16.00 O.upf
CELL_PARAMETERS angstrom
3.510 2.027 6.622
-3.510 2.027 6.622
0.000 -4.053 6.622
ATOMIC_POSITIONS crystal
Rb 0.000 0.500 0.500
Rb 0.500 0.000 0.500
Rb 0.500 0.500 0.000
Ce 0.000 0.000 0.500
Ce 0.000 0.500 0.000
Ce 0.500 0.000 0.000
Ga 0.500 0.500 0.500
O 0.226 0.226 0.226
O 0.246 0.708 0.708
O 0.292 0.292 0.754
O 0.292 0.754 0.292
O 0.708 0.246 0.708
O 0.708 0.708 0.246
O 0.754 0.292 0.292
O 0.774 0.774 0.774

=====

(10)
! FeMo2Se PBE relaxed; values from VASP
! Formation energy from raw total energies, eV per atom: 0.507
! Symmetry: No. 216
&SYSTEM
  ibrav = 0, nat = 16, ntyp = 3
/
ATOMIC_SPECIES
Fe 55.84 Fe.upf
Mo 95.94 Mo.upf
Se 78.96 Se.upf
CELL_PARAMETERS angstrom
6.233 0.000 0.000
0.000 6.233 0.000
0.000 0.000 6.233
ATOMIC_POSITIONS crystal
Fe 0.000 0.000 0.000
Fe 0.000 0.500 0.500
Fe 0.500 0.000 0.500
Fe 0.500 0.500 0.000
Mo 0.000 0.000 0.500
Mo 0.000 0.500 0.000
Mo 0.250 0.250 0.250
Mo 0.250 0.750 0.750
Mo 0.500 0.000 0.000
Mo 0.500 0.500 0.500
Mo 0.750 0.250 0.750
Mo 0.750 0.750 0.250
Se 0.250 0.250 0.750
Se 0.250 0.750 0.250
Se 0.750 0.250 0.250
Se 0.750 0.750 0.750

=====

(11)
! Hf2InRh PBE relaxed; values from VASP
! E_form, eV/f.u.: -0.38
! Symmetry: No. 122
&SYSTEM
  ibrav = 0, nat = 16, ntyp = 3
/
ATOMIC_SPECIES
Hf 178.49 Hf.upf
In 114.82 In.upf
Rh 102.91 Rh.upf
CELL_PARAMETERS angstrom
7.681 0.000 0.000
0.000 7.681 0.000
0.000 0.000 5.845
ATOMIC_POSITIONS crystal
Hf 0.200 0.250 0.125
Hf 0.250 0.700 0.375
Hf 0.250 0.800 0.875
Hf 0.300 0.250 0.625
Hf 0.700 0.750 0.625
Hf 0.750 0.200 0.875
Hf 0.750 0.300 0.375
Hf 0.800 0.750 0.125
In 0.000 0.000 0.500
In 0.000 0.500 0.750
In 0.500 0.000 0.250
In 0.500 0.500 0.000
Rh 0.000 0.000 0.000
Rh 0.000 0.500 0.250
Rh 0.500 0.000 0.750
Rh 0.500 0.500 0.500

=====

(12)
! In2SnF PBE relaxed; values from VASP
! Formation energy from raw total energies, eV per atom: -0.671
! Symmetry: No. 166
&SYSTEM
  ibrav = 0, nat = 12, ntyp = 3
/
ATOMIC_SPECIES
In 114.82 In.upf
Sn 118.71 Sn.upf
F 19.00 F.upf
CELL_PARAMETERS angstrom
3.287 0.000 0.000
-1.644 2.847 0.000
0.000 0.000 29.780
ATOMIC_POSITIONS crystal
In 0.000 0.000 0.231
In 0.000 0.000 0.769
In 0.333 0.667 0.435
In 0.333 0.667 0.898
In 0.667 0.333 0.102
In 0.667 0.333 0.565
Sn 0.000 0.000 0.000
Sn 0.333 0.667 0.667
Sn 0.667 0.333 0.333
F 0.000 0.000 0.500
F 0.333 0.667 0.167
F 0.667 0.333 0.833

=====

(13)
! Ta2VW3 PBE relaxed; values from VASP
! E_form, eV/f.u.: 1.80
! Symmetry: No. 15
&SYSTEM
  ibrav = 0, nat = 12, ntyp = 3
/
ATOMIC_SPECIES
Ta 180.95 Ta.upf
V 50.94 V.upf
W 183.84 W.upf
CELL_PARAMETERS angstrom
3.927 -4.054 0.000
3.927 4.054 0.000
-0.721 0.000 6.327
ATOMIC_POSITIONS crystal
Ta 0.125 0.627 0.876
Ta 0.373 0.875 0.624
Ta 0.627 0.125 0.376
Ta 0.875 0.373 0.124
V 0.077 0.923 0.250
V 0.923 0.077 0.750
W 0.163 0.322 0.504
W 0.322 0.163 0.004
W 0.414 0.586 0.250
W 0.586 0.414 0.750
W 0.678 0.837 0.996
W 0.837 0.678 0.496

=====

(14)
! NbAlGe3 PBE relaxed; values from VASP
! E_form, eV/f.u.: 5.22
! Symmetry: No. 221
&SYSTEM
  ibrav = 0, nat = 5, ntyp = 3
/
ATOMIC_SPECIES
Nb 92.91 Nb.upf
Al 26.98 Al.upf
Ge 72.64 Ge.upf
CELL_PARAMETERS angstrom
4.750 0.000 0.000
0.000 4.750 0.000
0.000 0.000 4.750
ATOMIC_POSITIONS crystal
Nb 0.000 0.000 0.000
Al 0.500 0.500 0.500
Ge 0.000 0.500 0.500
Ge 0.500 0.000 0.500
Ge 0.500 0.500 0.000

=====

(15)
! Ac8Cd2Ni PBE relaxed; values from VASP
! E_form, eV/f.u.: -1.00
! Symmetry: No. 12
&SYSTEM
  ibrav = 0, nat = 11, ntyp = 3
/
ATOMIC_SPECIES
Ac 227.00 Ac.upf
Cd 112.41 Cd.upf
Ni 58.69 Ni.upf
CELL_PARAMETERS angstrom
10.048 -2.672 0.000
10.048 2.672 0.000
-0.237 0.000 7.805
ATOMIC_POSITIONS crystal
Ac 0.003 0.003 0.230
Ac 0.216 0.216 0.314
Ac 0.364 0.364 0.991
Ac 0.403 0.403 0.491
Ac 0.597 0.597 0.509
Ac 0.636 0.636 0.009
Ac 0.784 0.784 0.686
Ac 0.997 0.997 0.770
Cd 0.182 0.182 0.761
Cd 0.818 0.818 0.239
Ni 0.500 0.500 0.000

=====

(16)
! GePS4 PBE relaxed; values from VASP
! Formation energy from raw total energies, eV per atom: 0.074
! Symmetry: No. 31
&SYSTEM
  ibrav = 0, nat = 12, ntyp = 3
/
ATOMIC_SPECIES
Ge 72.64 Ge.upf
P 30.97 P.upf
S 32.06 S.upf
CELL_PARAMETERS angstrom
6.619 0.000 0.000
0.000 6.624 0.000
0.000 0.000 6.869
ATOMIC_POSITIONS crystal
Ge 0.000 0.203 0.000
Ge 0.500 0.797 0.500
P 0.000 0.537 0.543
P 0.500 0.463 0.043
S 0.000 0.238 0.666
S 0.000 0.887 0.091
S 0.235 0.689 0.692
S 0.265 0.311 0.192
S 0.500 0.113 0.591
S 0.500 0.762 0.166
S 0.735 0.311 0.192
S 0.765 0.689 0.692

=====

(17)
! TcWS2Cl PBE relaxed; values from VASP
! Formation energy from raw total energies, eV per atom: 0.737
! Symmetry: No. 123
&SYSTEM
  ibrav = 0, nat = 5, ntyp = 4
/
ATOMIC_SPECIES
Tc 98.00 Tc.upf
W 183.84 W.upf
S 32.06 S.upf
Cl 35.45 Cl.upf
CELL_PARAMETERS angstrom
4.658 0.000 0.000
0.000 4.658 0.000
0.000 0.000 4.913
ATOMIC_POSITIONS crystal
Tc 0.000 0.000 0.000
W 0.500 0.500 0.500
S 0.000 0.500 0.500
S 0.500 0.000 0.500
Cl 0.500 0.500 0.000

=====

(18)
! Ti4V2In5 PBE relaxed; values from VASP
! E_form, eV/f.u.: -0.70
! Symmetry: No. 10
&SYSTEM
  ibrav = 0, nat = 11, ntyp = 3
/
ATOMIC_SPECIES
Ti 47.87 Ti.upf
V 50.94 V.upf
In 114.82 In.upf
CELL_PARAMETERS angstrom
7.653 0.000 0.000
0.000 3.085 0.000
-1.105 0.000 8.918
ATOMIC_POSITIONS crystal
Ti 0.191 0.000 0.337
Ti 0.234 0.000 0.923
Ti 0.766 0.000 0.077
Ti 0.809 0.000 0.663
V 0.064 0.500 0.113
V 0.936 0.500 0.887
In 0.148 0.500 0.633
In 0.450 0.500 0.165
In 0.500 0.500 0.500
In 0.550 0.500 0.835
In 0.852 0.500 0.367

=====

(19)
! BeGaCu14 PBE relaxed; values from VASP
! E_form, eV/f.u.: -0.09
! Symmetry: No. 38
&SYSTEM
  ibrav = 0, nat = 16, ntyp = 3
/
ATOMIC_SPECIES
Be 9.01 Be.upf
Ga 69.72 Ga.upf
Cu 63.55 Cu.upf
CELL_PARAMETERS angstrom
8.347 0.000 0.000
0.000 2.597 4.393
0.000 -2.597 4.393
ATOMIC_POSITIONS crystal
Be 0.000 0.000 0.000
Ga 0.000 0.500 0.500
Cu 0.000 0.002 0.499
Cu 0.000 0.499 0.002
Cu 0.247 0.321 0.832
Cu 0.247 0.832 0.321
Cu 0.248 0.828 0.828
Cu 0.254 0.327 0.327
Cu 0.500 0.155 0.659
Cu 0.500 0.156 0.156
Cu 0.500 0.655 0.655
Cu 0.500 0.659 0.155
Cu 0.746 0.327 0.327
Cu 0.752 0.828 0.828
Cu 0.753 0.321 0.832
Cu 0.753 0.832 0.321

=====

(20)
! Tb4AlPt PBE relaxed; values from VASP
! E_form, eV/f.u.: -3.03
! Symmetry: No. 15
&SYSTEM
  ibrav = 0, nat = 12, ntyp = 3
/
ATOMIC_SPECIES
Tb 158.93 Tb.upf
Al 26.98 Al.upf
Pt 195.08 Pt.upf
CELL_PARAMETERS angstrom
4.423 -6.817 0.000
4.423 6.817 0.000
-2.315 0.000 5.348
ATOMIC_POSITIONS crystal
Tb 0.062 0.699 0.924
Tb 0.220 0.364 0.672
Tb 0.301 0.938 0.576
Tb 0.364 0.220 0.172
Tb 0.636 0.780 0.828
Tb 0.699 0.062 0.424
Tb 0.780 0.636 0.328
Tb 0.938 0.301 0.076
Al 0.374 0.626 0.250
Al 0.626 0.374 0.750
Pt 0.000 0.000 0.250
Pt 0.000 0.000 0.750

=====

Number 1: DOS(E_F) 17.034 states/eV per cell. Number 2: DOS(E_F) 0.324 states/eV per cell. Number 3: DOS(E_F) 3.557 states/eV per cell. Number 4: DOS(E_F) 10.000 states/eV per cell. Number 5: DOS(E_F) 5.909 states/eV per cell. Number 6: DOS(E_F) 13.136 states/eV per cell. Number 7: DOS(E_F) 3.877 states/eV per cell. Number 8: DOS(E_F) 1.465 states/eV per cell. Number 9: DOS(E_F) 9.659 states/eV per cell. Number 10: DOS(E_F) 19.342 states/eV per cell. Number 11: DOS(E_F) 12.824 states/eV per cell. Number 12: DOS(E_F) 9.475 states/eV per cell. Number 13: DOS(E_F) 12.928 states/eV per cell. Number 14: DOS(E_F) 7.419 states/eV per cell. Number 15: DOS(E_F) 13.595 states/eV per cell. Number 16: DOS(E_F) 8.664 states/eV per cell. Number 17: DOS(E_F) 3.699 states/eV per cell. Number 18: DOS(E_F) 8.171 states/eV per cell. Number 19: DOS(E_F) 7.072 states/eV per cell. Number 20: DOS(E_F) 14.927 states/eV per cell.